A relaxed LiAc5Mg6 crystal, computed with PBE.

abc: 5.742 8.087 9.939
angles: 65.99 72.94 90.01
Fractional coordinates of all 12 atoms:
Li: 0.000 0.000 0.000
Mg: 0.152 0.929 0.693
Ac: 0.336 0.335 0.329
Ac: 0.664 0.665 0.671
Ac: 0.000 0.500 0.000
Ac: 0.323 0.822 0.355
Mg: 0.500 0.217 0.000
Ac: 0.677 0.178 0.645
Mg: 0.500 0.783 0.000
Mg: 0.151 0.377 0.694
Mg: 0.849 0.623 0.306
Mg: 0.848 0.071 0.307

Calculated values
Crystal system: monoclinic
Energy of formation (eV/atom): -0.03

***

A relaxed LiAcNdMg crystal, computed with PBE.

abc: 5.642 5.642 5.642
angles: 60.00 60.00 60.00
Fractional coordinates of all 4 atoms:
Li: 0.000 0.000 0.000
Ac: 0.750 0.750 0.750
Mg: 0.500 0.500 0.500
Nd: 0.250 0.250 0.250

Calculated values
Crystal system: cubic
Energy of formation (eV/atom): 0.02

***

A relaxed LiAcMgNi crystal, computed with PBE.

abc: 5.017 5.017 5.017
angles: 60.00 60.00 60.00
Fractional coordinates of all 4 atoms:
Li: 0.750 0.750 0.750
Mg: 0.000 0.000 0.000
Ac: 0.500 0.500 0.500
Ni: 0.250 0.250 0.250

Calculated values
Crystal system: cubic
Energy of formation (eV/atom): -0.02

***

A relaxed LiAcMgO3 crystal, computed with PBE.

abc: 5.486 5.502 5.783
angles: 118.41 90.00 90.00
Fractional coordinates of all 12 atoms:
Mg: 0.250 0.036 0.072
Mg: 0.750 0.964 0.928
O: 0.500 0.262 0.000
O: 0.000 0.738 0.000
O: 0.000 0.262 0.000
O: 0.500 0.738 0.000
Li: 0.750 0.581 0.162
O: 0.750 0.764 0.528
Ac: 0.750 0.316 0.631
O: 0.250 0.236 0.472
Li: 0.250 0.419 0.838
Ac: 0.250 0.684 0.369

Calculated values
Formation energy from raw total energies (meV/atom): -2529.2
Crystal system: orthorhombic

***

A relaxed LiAc2MgPb6 crystal, computed with PBE.

abc: 8.137 7.388 10.428
angles: 90.00 90.00 90.00
Fractional coordinates of all 20 atoms:
Li: 0.000 0.912 0.000
Pb: 0.799 0.579 0.000
Li: 0.500 0.088 0.500
Ac: 0.500 0.724 0.259
Pb: 0.302 0.027 0.000
Pb: 0.198 0.973 0.500
Pb: 0.201 0.579 0.000
Ac: 0.000 0.276 0.759
Mg: 0.500 0.383 0.000
Pb: 0.698 0.027 0.000
Pb: 0.802 0.973 0.500
Pb: 0.500 0.216 0.254
Ac: 0.000 0.276 0.241
Pb: 0.701 0.421 0.500
Pb: 0.000 0.784 0.246
Mg: 0.000 0.617 0.500
Pb: 0.000 0.784 0.754
Ac: 0.500 0.724 0.741
Pb: 0.500 0.216 0.746
Pb: 0.299 0.421 0.500

Calculated values
Crystal system: orthorhombic
Energy of formation (eV/atom): -0.21

***

A relaxed Li4Ac2MgPb3 crystal, computed with PBE.

abc: 4.767 4.767 11.407
angles: 90.00 90.00 90.00
Fractional coordinates of all 10 atoms:
Li: 0.000 0.500 0.367
Ac: 0.000 0.500 0.765
Li: 0.500 0.000 0.633
Li: 0.000 0.000 0.000
Ac: 0.500 0.000 0.235
Pb: 0.500 0.000 0.868
Li: 0.500 0.500 0.000
Pb: 0.000 0.500 0.132
Mg: 0.500 0.500 0.500
Pb: 0.000 0.000 0.500

Calculated values
Crystal system: tetragonal
Energy of formation (eV/atom): -0.38

***

no.,calculated volume (A^3/atom)
1,33.3
2,31.8
3,22.3
4,12.8
5,31.3
6,25.9